<a>
# CdSiTc2

An optimized crystal structure of CdSiTc2 (GGA-PBEsol, Alexandria via LeMat-Bulk).

Unit cell a=6.178 b=6.178 c=6.178 alpha=90.00 beta=90.00 gamma=90.00
Space group F-43m (No. 216)
One atom of each set of equivalent atoms:
1 Cd 0.000 0.000 0.000 x4
2 Si 0.250 0.250 0.750 x4
3 Tc 0.000 0.000 0.500 x4
4 Tc 0.250 0.250 0.250 x4

- DOS at the Fermi energy: 4.02 states/eV/f.u.
- Total magnetic moment: 0.01 μB/cell

=====

<b>
# CdSiTc2

An optimized crystal structure of CdSiTc2 (GGA-PBEsol, Alexandria via LeMat-Bulk).

Unit cell a=6.134 b=6.134 c=6.134 alpha=90.00 beta=90.00 gamma=90.00
Space group Fm-3m (No. 225)
One atom of each set of equivalent atoms:
1 Cd 0.000 0.000 0.000 x4
2 Si 0.000 0.000 0.500 x4
3 Tc 0.250 0.250 0.250 x8

- DOS at the Fermi energy: 4.05 states/eV/f.u.
- Total magnetic moment: 0.00 μB/cell

=====

What is the stability order? It is <b>, <a>, from most stable to least stable.